Record 1
## CsKRb2I (PBE)

Data for a relaxed structure of CsKRb2I.

Cell and atoms, written as POSCAR:
```
CsKRb2I
1.0
-5.0468 4.7375 2.4714
-3.0307 0.2619 -6.6909
-4.5743 -5.8346 1.8436
I Cs Rb K
1 1 2 1
Direct
0.0000 0.0000 0.0000
0.0000 0.0000 0.5000
0.0000 0.5000 0.0000
0.5000 0.0000 0.0000
0.5000 0.5000 0.5000
```

Calculated values
Space group: P4/mmm (123)
Energy above the lowest structure with this stoichiometry, eV per atom: 0.0000
E_form (uncorrected), eV/atom: -0.5396

---

Record 2
## Cs2KRbI (PBE)

Data for a relaxed structure of Cs2KRbI.

Cell and atoms, written as POSCAR:
```
Cs2KRbI
1.0
-3.6198 5.0856 4.5667
4.0161 -2.5989 6.0776
5.0898 4.7999 -1.3108
I K Cs Rb
1 1 2 1
Direct
0.0000 0.0000 0.0000
0.0000 0.0000 0.5000
0.5000 0.0000 0.0000
0.0000 0.5000 0.0000
0.5000 0.5000 0.5000
```

Calculated values
Space group: P4/mmm (123)
Energy above the lowest structure with this stoichiometry, eV per atom: 0.0089
E_form (uncorrected), eV/atom: -0.5483

---

Record 3
## Cs2KRbI (PBE)

Data for a relaxed structure of Cs2KRbI.

Cell and atoms, written as POSCAR:
```
Cs2KRbI
1.0
-3.3697 -5.3999 -4.2471
-0.7183 -4.4276 6.1993
-6.5688 3.0080 1.3873
I Cs Rb K
1 2 1 1
Direct
0.0000 0.0000 0.0000
0.0000 0.5000 0.0000
0.5000 0.0000 0.0000
0.0000 0.0000 0.5000
0.5000 0.5000 0.5000
```

Calculated values
Space group: P4/mmm (123)
Energy above the lowest structure with this stoichiometry, eV per atom: 0.0000
E_form (uncorrected), eV/atom: -0.5572

---

Record 4
## CsKRb2I (PBE)

Data for a relaxed structure of CsKRb2I.

Cell and atoms, written as POSCAR:
```
CsKRb2I
1.0
-2.2711 6.4543 -3.0610
-6.0682 -0.0485 4.4000
3.6199 3.6605 5.0327
K Rb I Cs
1 2 1 1
Direct
0.0000 0.0000 0.5000
0.0000 0.5000 0.0000
0.5000 0.0000 0.0000
0.0000 0.0000 0.0000
0.5000 0.5000 0.5000
```

Calculated values
Space group: P4/mmm (123)
Energy above the lowest structure with this stoichiometry, eV per atom: 0.0329
E_form (uncorrected), eV/atom: -0.5067

---

Record 5
## Cs3KRb4I8 (PBE)

Data for a relaxed structure of Cs3KRb4I8.

Cell and atoms, written as POSCAR:
```
Cs3KRb4I8
1.0
-8.1235 6.9772 0.5377
-6.8282 -7.7233 -2.9427
6.3953 -1.4462 8.4837
I Cs Rb K
8 3 4 1
Direct
0.7548 0.7642 0.5095
0.2461 0.7547 0.0087
0.2374 0.2453 0.9913
0.2452 0.2358 0.4905
0.7539 0.2453 0.9913
0.7626 0.7547 0.0087
0.2470 0.7555 0.4939
0.7530 0.2445 0.5061
0.5000 0.5000 0.0000
0.5000 0.5000 0.5000
0.0000 0.5000 0.5000
0.0000 0.0000 0.5000
0.5000 0.0000 0.5000
0.5000 0.0000 0.0000
0.0000 0.0000 0.0000
0.0000 0.5000 0.0000
```

Calculated values
Space group: C2/m (12)
E_form (uncorrected), eV/atom: -1.5099

---

Record 6
## Cs2KReI6 (PBE)

Data for a relaxed structure of Cs2KReI6.

Cell and atoms, written as POSCAR:
```
Cs2KReI6
1.0
-5.2727 3.9277 -5.6509
1.1757 -6.5001 -5.6149
-6.8435 -4.2430 -3.2140
I Re Cs K
6 1 2 1
Direct
0.7756 0.2244 0.0000
0.2244 0.2244 0.0000
0.2244 0.2244 0.5511
0.7756 0.7756 0.4489
0.2244 0.7756 0.0000
0.7756 0.7756 0.0000
0.0000 0.0000 0.0000
0.2500 0.7500 0.5000
0.7500 0.2500 0.5000
0.5000 0.5000 0.0000
```

Calculated values
Space group: Fm-3m (225)
E_form (uncorrected), eV/atom: -0.7729

---

no.,calculated volume (Å³/cell),E (eV per atom)
1,412.7,-1.627
2,425.8,-1.613
3,430.7,-1.622
4,404.5,-1.594
5,871.6,-2.756
6,460.8,-3.228